Entry 1:
The following is a DFT calculation (PBE-GGA) of crystalline Na2AgF at its relaxed geometry.

a b c (Å): 4.891 4.891 4.891
angles (deg): 60.00 60.00 60.00
Positions (direct):
Na: 0.250 0.250 0.250
Na: 0.750 0.750 0.750
F: 0.000 0.000 0.000
Ag: 0.500 0.500 0.500

Values from the calculation:
ΔE to the lowest computed polymorph	1.633	eV per formula unit
crystal system	cubic

---

Entry 2:
The following is a DFT calculation (PBE-GGA) of crystalline Na2AgF4 at its relaxed geometry.

a b c (Å): 10.519 3.409 6.286
angles (deg): 64.63 90.00 90.00
Last column: magnetic moment on the atom in μB.
Positions (direct):
F: 0.171 0.029 0.814  0.11
F: 0.329 0.029 0.314  0.11
F: 0.438 0.437 0.797  0.11
F: 0.938 0.563 0.703  0.11
F: 0.562 0.563 0.203  0.11
F: 0.671 0.971 0.686  0.11
F: 0.829 0.971 0.186  0.11
F: 0.062 0.437 0.297  0.11
Ag: 0.500 0.000 0.500  0.52
Ag: 0.000 0.000 0.000  0.52
Na: 0.350 0.750 0.036  0.00
Na: 0.850 0.250 0.464  0.00
Na: 0.650 0.250 0.964  0.00
Na: 0.150 0.750 0.536  0.00

Values from the calculation:
ΔE to the lowest computed polymorph	0.000	eV per formula unit
crystal system	monoclinic

---

Entry 3:
The following is a DFT calculation (PBE-GGA) of crystalline NaAg5F7 at its relaxed geometry.

a b c (Å): 3.372 6.064 20.257
angles (deg): 82.72 97.91 101.72
Positions (direct):
Ag: 0.434 0.103 0.323
Ag: 0.349 0.582 0.074
Ag: 0.711 0.436 0.580
Ag: 0.651 0.419 0.926
Ag: 0.000 0.001 0.500
Ag: 0.287 0.881 0.843
Ag: 0.566 0.899 0.677
Ag: 0.000 0.000 0.000
Ag: 0.289 0.566 0.420
Ag: 0.713 0.120 0.157
F: 0.342 0.710 0.529
F: 0.414 0.414 0.183
F: 0.318 0.715 0.959
F: 0.039 0.124 0.600
F: 0.937 0.619 0.673
F: 0.962 0.878 0.400
F: 0.659 0.292 0.471
F: 0.640 0.881 0.253
F: 0.361 0.120 0.747
F: 0.682 0.285 0.041
F: 0.587 0.587 0.817
F: 0.011 0.852 0.116
F: 0.064 0.383 0.327
F: 0.989 0.149 0.885
Na: 0.030 0.627 0.231
Na: 0.970 0.374 0.769

Values from the calculation:
crystal system	triclinic

---

Entry 4:
The following is a DFT calculation (PBE-GGA) of crystalline Na2AgF4 at its relaxed geometry.

a b c (Å): 4.392 4.392 6.736
angles (deg): 70.97 70.97 90.00
Last column: magnetic moment on the atom in μB.
Positions (direct):
F: 0.500 0.000 0.000  0.09
F: 0.819 0.819 0.361  0.09
F: 0.181 0.181 0.639  0.09
F: 0.000 0.500 0.000  0.09
Na: 0.361 0.361 0.278  0.00
Na: 0.639 0.639 0.722  0.00
Ag: 0.000 0.000 0.000  0.49

Values from the calculation:
ΔE to the lowest computed polymorph	0.953	eV per formula unit
crystal system	tetragonal

---

Number 1: raw total energy -2.719 eV/atom, size of the total moment 0.00 μB/cell, formation energy from raw total energies -0.88 eV per atom. Number 2: raw total energy -3.927 eV/atom, size of the total moment 2.00 μB/cell, formation energy from raw total energies -2.07 eV per atom. Number 3: raw total energy -3.486 eV/atom, size of the total moment 0.00 μB/cell, formation energy from raw total energies -1.28 eV per atom. Number 4: raw total energy -3.790 eV/atom, size of the total moment 0.87 μB/cell, formation energy from raw total energies -1.94 eV per atom.